DFT (PBE-GGA) results for a relaxed LaEr2Ag2 crystal.

Cell: 3.6272 21.2800 3.5844 Å, 90.00 90.00 90.00°
Space group Cmmm (No. 65)
Inequivalent atoms, fractional coordinates:
La (0.0000, 0.0000, 0.0000) (multiplicity 2)
Er (0.0000, 0.1795, 0.0000) (multiplicity 4)
Ag (0.0000, 0.3978, 0.5000) (multiplicity 4)

Computed properties:
The energy of formation from the pure elements comes out at -0.117 eV per atom.

DFT (PBE-GGA) results for a relaxed La3Er2Ag3 crystal.

Cell: 3.7197 5.5021 22.3975 Å, 90.00 90.00 90.00°
Space group Immm (No. 71)
Inequivalent atoms, fractional coordinates:
La (0.0000, 0.0000, 0.0000) (multiplicity 2)
La (0.0000, 0.5000, 0.1221) (multiplicity 4)
Er (0.0000, 0.0000, 0.2328) (multiplicity 4)
Ag (0.0000, 0.0000, 0.5000) (multiplicity 2)
Ag (0.0000, 0.5000, 0.3743) (multiplicity 4)

Computed properties:
The energy of formation from the pure elements comes out at -0.194 eV per atom.

DFT (PBE-GGA) results for a relaxed La2ErAg2 crystal.

Cell: 8.5211 8.5211 3.9953 Å, 90.00 90.00 90.00°
Space group P4/mbm (No. 127)
Inequivalent atoms, fractional coordinates:
La (0.1741, 0.3259, 0.0000) (multiplicity 4)
Er (0.0000, 0.0000, 0.5000) (multiplicity 2)
Ag (0.1240, 0.6240, 0.5000) (multiplicity 4)

Computed properties:
The energy of formation from the pure elements comes out at -0.190 eV per atom.

DFT (PBE-GGA) results for a relaxed La2ErAg crystal.

Cell: 3.6984 3.6984 32.0040 Å, 90.00 90.00 120.00°
Space group R3m (No. 160, hexagonal axes)
Inequivalent atoms, fractional coordinates:
La (0.0000, 0.0000, 0.0000) (multiplicity 3)
La (0.0000, 0.0000, 0.1799) (multiplicity 3)
Er (0.0000, 0.0000, 0.4227) (multiplicity 3)
Ag (0.0000, 0.0000, 0.5907) (multiplicity 3)

Computed properties:
The value obtained for the offset from the most stable computed form is 0.0944 eV per atom. The energy of formation from the pure elements comes out at 0.006 eV per atom.

DFT (PBE-GGA) results for a relaxed La6ErAg2 crystal.

Cell: 13.0224 3.7953 12.2432 Å, 90.00 107.63 90.00°
Space group C2/m (No. 12)
Inequivalent atoms, fractional coordinates:
La (0.0283, 0.0000, 0.3309) (multiplicity 4)
La (0.1855, 0.5000, 0.8768) (multiplicity 4)
La (0.1909, 0.5000, 0.5950) (multiplicity 4)
Er (0.0000, 0.0000, 0.0000) (multiplicity 2)
Ag (0.1345, 0.5000, 0.1796) (multiplicity 4)

Computed properties:
The energy of formation from the pure elements comes out at -0.109 eV per atom.

DFT (PBE-GGA) results for a relaxed La2ErAg crystal.

Cell: 7.8633 7.8633 7.8633 Å, 90.00 90.00 90.00°
Space group Fm-3m (No. 225)
Inequivalent atoms, fractional coordinates:
La (0.2500, 0.2500, 0.2500) (multiplicity 8)
Er (0.0000, 0.0000, 0.0000) (multiplicity 4)
Ag (0.0000, 0.0000, 0.5000) (multiplicity 4)

Computed properties:
The value obtained for the offset from the most stable computed form is 0.1240 eV per atom. The energy of formation from the pure elements comes out at 0.035 eV per atom.

DFT (PBE-GGA) results for a relaxed La5ErAg crystal.

Cell: 8.8369 8.6957 12.5881 Å, 90.00 104.28 90.00°
Space group C2/c (No. 15)
Inequivalent atoms, fractional coordinates:
La (0.0000, 0.0336, 0.2500) (multiplicity 4)
La (0.1491, 0.3642, 0.0641) (multiplicity 8)
La (0.2172, 0.3254, 0.3650) (multiplicity 8)
Er (0.0000, 0.3582, 0.7500) (multiplicity 4)
Ag (0.0000, 0.0000, 0.0000) (multiplicity 4)

Computed properties:
The energy of formation from the pure elements comes out at 0.023 eV per atom.

DFT (PBE-GGA) results for a relaxed LaErAg4 crystal.

Cell: 3.9653 3.9653 9.7994 Å, 90.00 90.00 90.00°
Space group P4/mmm (No. 123)
Inequivalent atoms, fractional coordinates:
La (0.0000, 0.0000, 0.0000) (multiplicity 1)
Er (0.5000, 0.5000, 0.5000) (multiplicity 1)
Ag (0.0000, 0.5000, 0.2646) (multiplicity 4)

Computed properties:
The value obtained for the offset from the most stable computed form is 0.2704 eV per atom. The energy of formation from the pure elements comes out at 0.010 eV per atom.

DFT (PBE-GGA) results for a relaxed La4ErAg crystal.

Cell: 3.7635 3.7635 13.8678 Å, 90.00 90.00 90.00°
Space group P4/mmm (No. 123)
Inequivalent atoms, fractional coordinates:
La (0.0000, 0.0000, 0.1408) (multiplicity 2)
La (0.5000, 0.5000, 0.3244) (multiplicity 2)
Er (0.0000, 0.0000, 0.5000) (multiplicity 1)
Ag (0.5000, 0.5000, 0.0000) (multiplicity 1)

Computed properties:
The energy of formation from the pure elements comes out at -0.064 eV per atom.

DFT (PBE-GGA) results for a relaxed La2Er2Ag crystal.

Cell: 3.6655 3.6655 22.5326 Å, 90.00 90.00 90.00°
Space group I4/mmm (No. 139)
Inequivalent atoms, fractional coordinates:
La (0.0000, 0.0000, 0.1905) (multiplicity 4)
Er (0.0000, 0.0000, 0.4229) (multiplicity 4)
Ag (0.0000, 0.0000, 0.0000) (multiplicity 2)

Computed properties:
The energy of formation from the pure elements comes out at -0.099 eV per atom.

DFT (PBE-GGA) results for a relaxed LaErAg4 crystal.

Cell: 5.3885 9.4945 5.3826 Å, 90.00 90.00 90.00°
Space group Cmmm (No. 65)
Inequivalent atoms, fractional coordinates:
La (0.0000, 0.0000, 0.0000) (multiplicity 2)
Er (0.0000, 0.5000, 0.5000) (multiplicity 2)
Ag (0.0000, 0.1791, 0.5000) (multiplicity 4)
Ag (0.0000, 0.3325, 0.0000) (multiplicity 4)

Computed properties:
The value obtained for the offset from the most stable computed form is 0.0000 eV per atom. The energy of formation from the pure elements comes out at -0.260 eV per atom.

DFT (PBE-GGA) results for a relaxed LaEr2Ag crystal.

Cell: 3.6316 3.6316 8.7059 Å, 90.00 90.00 90.00°
Space group P4/mmm (No. 123)
Inequivalent atoms, fractional coordinates:
La (0.0000, 0.0000, 0.0000) (multiplicity 1)
Er (0.5000, 0.5000, 0.2974) (multiplicity 2)
Ag (0.0000, 0.0000, 0.5000) (multiplicity 1)

Computed properties:
The value obtained for the offset from the most stable computed form is 0.0000 eV per atom. The energy of formation from the pure elements comes out at -0.129 eV per atom.

DFT (PBE-GGA) results for a relaxed La2ErAg crystal.

Cell: 3.8166 3.8166 8.5843 Å, 90.00 90.00 90.00°
Space group P4/mmm (No. 123)
Inequivalent atoms, fractional coordinates:
La (0.0000, 0.0000, 0.2219) (multiplicity 2)
Er (0.5000, 0.5000, 0.5000) (multiplicity 1)
Ag (0.5000, 0.5000, 0.0000) (multiplicity 1)

Computed properties:
The value obtained for the offset from the most stable computed form is 0.0000 eV per atom. The energy of formation from the pure elements comes out at -0.089 eV per atom.

DFT (PBE-GGA) results for a relaxed LaErAg4 crystal.

Cell: 8.1625 8.1625 8.1625 Å, 90.00 90.00 90.00°
Space group F-43m (No. 216)
Inequivalent atoms, fractional coordinates:
La (0.0000, 0.0000, 0.0000) (multiplicity 4)
Er (0.2500, 0.2500, 0.2500) (multiplicity 4)
Ag (0.1244, 0.1244, 0.6244) (multiplicity 16)

Computed properties:
The value obtained for the offset from the most stable computed form is 0.0991 eV per atom. The energy of formation from the pure elements comes out at -0.161 eV per atom.

DFT (PBE-GGA) results for a relaxed LaEr2Ag crystal.

Cell: 3.6267 3.6267 31.3623 Å, 90.00 90.00 120.00°
Space group R3m (No. 160, hexagonal axes)
Inequivalent atoms, fractional coordinates:
La (0.0000, 0.0000, 0.0000) (multiplicity 3)
Er (0.0000, 0.0000, 0.5705) (multiplicity 3)
Er (0.0000, 0.0000, 0.7622) (multiplicity 3)
Ag (0.0000, 0.0000, 0.1661) (multiplicity 3)

Computed properties:
The value obtained for the offset from the most stable computed form is 0.1403 eV per atom. The energy of formation from the pure elements comes out at 0.011 eV per atom.

DFT (PBE-GGA) results for a relaxed LaEr4Ag5 crystal.

Cell: 3.6061 3.6061 18.6285 Å, 90.00 90.00 90.00°
Space group P4/mmm (No. 123)
Inequivalent atoms, fractional coordinates:
La (0.0000, 0.0000, 0.0000) (multiplicity 1)
Er (0.0000, 0.0000, 0.2076) (multiplicity 2)
Er (0.0000, 0.0000, 0.4025) (multiplicity 2)
Ag (0.5000, 0.5000, 0.1158) (multiplicity 2)
Ag (0.5000, 0.5000, 0.3050) (multiplicity 2)
Ag (0.5000, 0.5000, 0.5000) (multiplicity 1)

Computed properties:
The energy of formation from the pure elements comes out at -0.321 eV per atom.

DFT (PBE-GGA) results for a relaxed LaErAg3 crystal.

Cell: 3.6327 28.0771 4.8325 Å, 90.00 90.00 90.00°
Space group Cmcm (No. 63)
Inequivalent atoms, fractional coordinates:
La (0.0000, 0.0762, 0.2500) (multiplicity 4)
Er (0.0000, 0.2100, 0.7500) (multiplicity 4)
Ag (0.0000, 0.3186, 0.7500) (multiplicity 4)
Ag (0.0000, 0.3758, 0.2500) (multiplicity 4)
Ag (0.0000, 0.4753, 0.2500) (multiplicity 4)

Computed properties:
The energy of formation from the pure elements comes out at -0.280 eV per atom.

DFT (PBE-GGA) results for a relaxed LaErLuAg crystal.

Cell: 7.6806 7.6806 7.6806 Å, 90.00 90.00 90.00°
Space group F-43m (No. 216)
Inequivalent atoms, fractional coordinates:
La (0.0000, 0.0000, 0.0000) (multiplicity 4)
Er (0.0000, 0.0000, 0.5000) (multiplicity 4)
Lu (0.2500, 0.2500, 0.7500) (multiplicity 4)
Ag (0.2500, 0.2500, 0.2500) (multiplicity 4)

Computed properties:
The energy of formation from the pure elements comes out at 0.049 eV per atom.

DFT (PBE-GGA) results for a relaxed LaErMg2Ag4 crystal.

Cell: 4.9879 4.9879 25.0715 Å, 90.00 90.00 120.00°
Space group R-3m (No. 166, hexagonal axes)
Inequivalent atoms, fractional coordinates:
La (0.0000, 0.0000, 0.0000) (multiplicity 3)
Er (0.0000, 0.0000, 0.5000) (multiplicity 3)
Mg (0.0000, 0.0000, 0.2470) (multiplicity 6)
Ag (0.0000, 0.0000, 0.1277) (multiplicity 6)
Ag (0.0000, 0.0000, 0.3832) (multiplicity 6)

Computed properties:
The energy of formation from the pure elements comes out at -0.283 eV per atom.

DFT (PBE-GGA) results for a relaxed LaEr2MgAg4 crystal.

Cell: 5.0588 5.0588 25.6163 Å, 90.00 90.00 120.00°
Space group R-3m (No. 166, hexagonal axes)
Inequivalent atoms, fractional coordinates:
La (0.0000, 0.0000, 0.0000) (multiplicity 3)
Er (0.0000, 0.0000, 0.2431) (multiplicity 6)
Mg (0.0000, 0.0000, 0.5000) (multiplicity 3)
Ag (0.0000, 0.0000, 0.1254) (multiplicity 6)
Ag (0.0000, 0.0000, 0.3883) (multiplicity 6)

Computed properties:
The energy of formation from the pure elements comes out at -0.255 eV per atom.